CrCuMoAs2, relaxed, DFT GGA-PBE; SG = P4/mmm, No. 123; DFT formation energy = 949.2 meV per atom; crystal system = tetragonal
1.0
4.548 0.000 0.000
0.000 4.548 0.000
0.000 0.000 4.586
Cr Cu Mo As
1 1 1 2
Direct
0.000 0.000 0.000
0.000 0.000 0.500
0.500 0.500 0.500
0.000 0.500 0.000
0.500 0.000 0.000